The following is a DFT calculation (GGA-PBE) of a geometry-optimized MnTlFeCl5 structure.

Structure (CIF):
```
data_MnTlFeCl5
_cell_length_a 8.7744
_cell_length_b 11.7288
_cell_length_c 9.2782
_cell_angle_alpha 90.00
_cell_angle_beta 112.44
_cell_angle_gamma 90.00
_space_group_name_H-M_alt 'C 1 2/c 1'
_space_group_IT_number 15
loop_
_space_group_symop_operation_xyz
'x,y,z'
'-x,-y,-z'
'-x,y,-z+1/2'
'x,-y,z+1/2'
'x+1/2,y+1/2,z'
'-x+1/2,-y+1/2,-z'
'-x+1/2,y+1/2,-z+1/2'
'x+1/2,-y+1/2,z+1/2'
loop_
_atom_site_label
_atom_site_type_symbol
_atom_site_fract_x
_atom_site_fract_y
_atom_site_fract_z
Mn1 Mn 0.0000 0.0000 0.0000
Tl1 Tl 0.0000 0.3377 0.2500
Fe1 Fe 0.0000 0.3146 0.7500
Cl1 Cl 0.0000 0.0675 0.2500
Cl2 Cl 0.1057 0.2018 0.6065
Cl3 Cl 0.1908 0.4303 0.9316
```

## Properties
Formation energy from raw total energies, eV/atom: -0.903
N(E_F), states/eV per cell: 26.99

The following is a DFT calculation (GGA-PBE) of a geometry-optimized Hf4TiGa5 structure.

Structure (CIF):
```
data_Hf4TiGa5
_cell_length_a 8.5520
_cell_length_b 8.5520
_cell_length_c 5.4223
_cell_angle_alpha 90.00
_cell_angle_beta 90.00
_cell_angle_gamma 90.00
_space_group_name_H-M_alt 'I 4'
_space_group_IT_number 79
loop_
_space_group_symop_operation_xyz
'x,y,z'
'-y,x,z'
'-x,-y,z'
'y,-x,z'
'x+1/2,y+1/2,z+1/2'
'-y+1/2,x+1/2,z+1/2'
'-x+1/2,-y+1/2,z+1/2'
'y+1/2,-x+1/2,z+1/2'
loop_
_atom_site_label
_atom_site_type_symbol
_atom_site_fract_x
_atom_site_fract_y
_atom_site_fract_z
Hf1 Hf 0.0922 0.3061 0.0000
Ti1 Ti 0.0000 0.0000 0.4969
Ga1 Ga 0.0000 0.0000 0.9968
Ga2 Ga 0.1016 0.2862 0.5000
```

## Properties
Formation energy, eV/atom: -0.13
N(E_F), states/eV per cell: 18.09

The following is a DFT calculation (GGA-PBE) of a geometry-optimized NdTm5Sc3 structure.

Structure (CIF):
```
data_NdTm5Sc3
_cell_length_a 13.5518
_cell_length_b 10.6367
_cell_length_c 10.2900
_cell_angle_alpha 90.00
_cell_angle_beta 125.48
_cell_angle_gamma 90.00
_space_group_name_H-M_alt 'C 1 2/m 1'
_space_group_IT_number 12
loop_
_space_group_symop_operation_xyz
'x,y,z'
'-x,-y,-z'
'-x,y,-z'
'x,-y,z'
'x+1/2,y+1/2,z'
'-x+1/2,-y+1/2,-z'
'-x+1/2,y+1/2,-z'
'x+1/2,-y+1/2,z'
loop_
_atom_site_label
_atom_site_type_symbol
_atom_site_fract_x
_atom_site_fract_y
_atom_site_fract_z
Nd1 Nd 0.2359 0.0000 0.3273
Tm1 Tm 0.0000 0.2806 0.0000
Tm2 Tm 0.1006 0.2651 0.7373
Tm3 Tm 0.1513 0.0000 0.5932
Tm4 Tm 0.1967 0.5000 0.0123
Sc1 Sc 0.0000 0.0000 0.0000
Sc2 Sc 0.0000 0.5000 0.5000
Sc3 Sc 0.0281 0.0000 0.7646
Sc4 Sc 0.0729 0.5000 0.2596
```

## Properties
Formation energy, eV/atom: 0.58
N(E_F), states/eV per cell: 52.21

The following is a DFT calculation (GGA-PBE) of a geometry-optimized PuCo5C2 structure.

Structure (CIF):
```
data_PuCo5C2
_cell_length_a 3.5079
_cell_length_b 5.9844
_cell_length_c 8.0396
_cell_angle_alpha 90.00
_cell_angle_beta 90.00
_cell_angle_gamma 90.00
_space_group_name_H-M_alt 'I m m m'
_space_group_IT_number 71
_space_group_name_Hall '-I 2 2'
loop_
_atom_site_label
_atom_site_type_symbol
_atom_site_fract_x
_atom_site_fract_y
_atom_site_fract_z
Pu1 Pu 0.0000 0.0000 0.0000
Co1 Co 0.0000 0.1998 0.3445
Co2 Co 0.0000 0.5000 0.0000
C1 C 0.0000 0.5000 0.2404
```

## Properties
Formation energy, eV/atom: 0.05
N(E_F), states/eV per cell: 19.26

The following is a DFT calculation (GGA-PBE) of a geometry-optimized VCuSbTe2 structure.

Structure (CIF):
```
data_VCuSbTe2
_cell_length_a 5.1172
_cell_length_b 5.1172
_cell_length_c 5.1801
_cell_angle_alpha 90.00
_cell_angle_beta 90.00
_cell_angle_gamma 90.00
_space_group_name_H-M_alt 'P 4/m m m'
_space_group_IT_number 123
_space_group_name_Hall '-P 4 2'
loop_
_atom_site_label
_atom_site_type_symbol
_atom_site_fract_x
_atom_site_fract_y
_atom_site_fract_z
V1 V 0.0000 0.0000 0.0000
Cu1 Cu 0.5000 0.5000 0.5000
Sb1 Sb 0.0000 0.0000 0.5000
Te1 Te 0.0000 0.5000 0.0000
```

## Properties
Formation energy from raw total energies, eV/atom: 0.567
N(E_F), states/eV per cell: 4.60
Offset from the most stable computed form, eV/atom: 0.0000

The following is a DFT calculation (GGA-PBE) of a geometry-optimized Pr2YAu structure.

Structure (CIF):
```
data_Pr2YAu
_cell_length_a 3.7741
_cell_length_b 3.7741
_cell_length_c 30.9877
_cell_angle_alpha 90.00
_cell_angle_beta 90.00
_cell_angle_gamma 120.00
_space_group_name_H-M_alt 'R -3 m'
_space_group_IT_number 166
_space_group_name_Hall '-R 3 2"'
loop_
_atom_site_label
_atom_site_type_symbol
_atom_site_fract_x
_atom_site_fract_y
_atom_site_fract_z
Pr1 Pr 0.0000 0.0000 0.2387
Y1 Y 0.0000 0.0000 0.0000
Au1 Au 0.0000 0.0000 0.5000
```

## Properties
Formation energy, eV/atom: -0.24
N(E_F), states/eV per cell: 10.57
Offset from the most stable computed form, eV/atom: 0.1622

The following is a DFT calculation (GGA-PBE) of a geometry-optimized LiPuTcOs structure.

Structure (CIF):
```
data_LiPuTcOs
_cell_length_a 6.3119
_cell_length_b 6.3119
_cell_length_c 6.3119
_cell_angle_alpha 90.00
_cell_angle_beta 90.00
_cell_angle_gamma 90.00
_space_group_name_H-M_alt 'F -4 3 m'
_space_group_IT_number 216
_space_group_name_Hall 'F -4 2 3'
loop_
_atom_site_label
_atom_site_type_symbol
_atom_site_fract_x
_atom_site_fract_y
_atom_site_fract_z
Li1 Li 0.0000 0.0000 0.0000
Pu1 Pu 0.0000 0.0000 0.5000
Tc1 Tc 0.2500 0.2500 0.7500
Os1 Os 0.2500 0.2500 0.2500
```

## Properties
Formation energy, eV/atom: 0.17
N(E_F), states/eV per cell: 21.24

The following is a DFT calculation (GGA-PBE) of a geometry-optimized CsLaMnS3 structure.

Structure (CIF):
```
data_CsLaMnS3
_cell_length_a 15.5887
_cell_length_b 4.6714
_cell_length_c 9.0963
_cell_angle_alpha 90.00
_cell_angle_beta 104.09
_cell_angle_gamma 90.00
_space_group_name_H-M_alt 'C 1 2/m 1'
_space_group_IT_number 12
loop_
_space_group_symop_operation_xyz
'x,y,z'
'-x,-y,-z'
'-x,y,-z'
'x,-y,z'
'x+1/2,y+1/2,z'
'-x+1/2,-y+1/2,-z'
'-x+1/2,y+1/2,-z'
'x+1/2,-y+1/2,z'
loop_
_atom_site_label
_atom_site_type_symbol
_atom_site_fract_x
_atom_site_fract_y
_atom_site_fract_z
Cs1 Cs 0.1356 0.0000 0.0601
La1 La 0.1512 0.0000 0.5684
Mn1 Mn 0.0019 0.5000 0.3869
S1 S 0.0032 0.0000 0.3159
S2 S 0.1427 0.5000 0.7583
S3 S 0.1515 0.5000 0.3711
```

## Properties
Formation energy from raw total energies, eV/atom: -1.313
N(E_F), states/eV per cell: 6.67

The following is a DFT calculation (GGA-PBE) of a geometry-optimized TaCuRh structure.

Structure (CIF):
```
data_TaCuRh
_cell_length_a 4.3309
_cell_length_b 4.3309
_cell_length_c 2.7533
_cell_angle_alpha 90.00
_cell_angle_beta 90.00
_cell_angle_gamma 120.00
_space_group_name_H-M_alt 'P 3 m 1'
_space_group_IT_number 156
loop_
_space_group_symop_operation_xyz
'x,y,z'
'-y,x-y,z'
'-x+y,-x,z'
'-y,-x,z'
'-x+y,y,z'
'x,x-y,z'
loop_
_atom_site_label
_atom_site_type_symbol
_atom_site_fract_x
_atom_site_fract_y
_atom_site_fract_z
Ta1 Ta 0.0000 0.0000 0.0000
Cu1 Cu 0.6667 0.3333 0.3912
Rh1 Rh 0.3333 0.6667 0.6743
```

## Properties
Formation energy, eV/atom: -0.18
N(E_F), states/eV per cell: 2.23
Offset from the most stable computed form, eV/atom: 0.1395

The following is a DFT calculation (GGA-PBE) of a geometry-optimized Cs2K3Rb3Na structure.

Structure (CIF):
```
data_Cs2K3Rb3Na
_cell_length_a 13.1709
_cell_length_b 13.1709
_cell_length_c 4.9932
_cell_angle_alpha 90.00
_cell_angle_beta 90.00
_cell_angle_gamma 120.00
_space_group_name_H-M_alt 'P -6 2 m'
_space_group_IT_number 189
_space_group_name_Hall 'P -6 -2'
loop_
_atom_site_label
_atom_site_type_symbol
_atom_site_fract_x
_atom_site_fract_y
_atom_site_fract_z
Cs1 Cs 0.3333 0.6667 0.0000
K1 K 0.0000 0.6497 0.5000
Rb1 Rb 0.0000 0.2646 0.0000
Na1 Na 0.0000 0.0000 0.5000
```

## Properties
Formation energy, eV/atom: 0.03
N(E_F), states/eV per cell: 7.60

The following is a DFT calculation (GGA-PBE) of a geometry-optimized Ag2CO3 structure.

Structure (CIF):
```
data_Ag2CO3
_cell_length_a 5.2117
_cell_length_b 5.2117
_cell_length_c 7.3125
_cell_angle_alpha 90.00
_cell_angle_beta 90.00
_cell_angle_gamma 120.00
_space_group_name_H-M_alt 'P 63/m m c'
_space_group_IT_number 194
_space_group_name_Hall '-P 6c 2c'
loop_
_atom_site_label
_atom_site_type_symbol
_atom_site_fract_x
_atom_site_fract_y
_atom_site_fract_z
Ag1 Ag 0.0000 0.0000 0.0000
Ag2 Ag 0.3333 0.6667 0.2500
C1 C 0.3333 0.6667 0.7500
O1 O 0.1892 0.3784 0.7500
```

## Properties
Formation energy from raw total energies, eV/atom: -0.639
Offset from the most stable computed form, eV/atom: 0.0967

The following is a DFT calculation (GGA-PBE) of a geometry-optimized PmGa2NiPt2 structure.

Structure (CIF):
```
data_PmGa2NiPt2
_cell_length_a 3.9636
_cell_length_b 3.9636
_cell_length_c 15.4850
_cell_angle_alpha 90.00
_cell_angle_beta 90.00
_cell_angle_gamma 90.00
_space_group_name_H-M_alt 'I 4/m m m'
_space_group_IT_number 139
_space_group_name_Hall '-I 4 2'
loop_
_atom_site_label
_atom_site_type_symbol
_atom_site_fract_x
_atom_site_fract_y
_atom_site_fract_z
Pm1 Pm 0.0000 0.0000 0.0000
Ga1 Ga 0.0000 0.0000 0.3517
Ni1 Ni 0.0000 0.0000 0.5000
Pt1 Pt 0.0000 0.5000 0.2500
```

## Properties
Formation energy, eV/atom: -0.51
N(E_F), states/eV per cell: 4.55

Calculated values (eV/atom) of uncorrected energy for the records, taken in order: -4.56, -6.41, -4.54, -8.49, -4.16, -5.06, -9.29, -5.87, -7.94, -1.00, -5.61, -5.29.